Entry from Alexandria: a geometry-optimized ThNbSb2N structure (PBE).

Lattice parameters (Å, degrees): 3.9047 3.9047 14.8281 90.00 90.00 90.00
With the nearest neighbours (Å) after each atom.
Space group P4/nmm (No. 129, origin choice 2)
Symmetry-distinct sites (fractional):
Th 0.2500 0.2500 0.0826  4 N 2.30
Nb 0.2500 0.2500 0.5663  6 Sb 2.91-2.93
Sb 0.2500 0.2500 0.3701  5 Nb 2.91-2.92
Sb 0.2500 0.2500 0.7638  1 Nb 2.93
N 0.2500 0.7500 0.0000  4 Th 2.30

* Fermi-level density of states: 0.49 states/eV/atom
* total magnetization: 0.000 μB per atom
* E_tot: -75.564 eV per cell
* E_form (uncorrected): -0.74 eV/atom


Entry from Alexandria: a geometry-optimized Y2NbSbN structure (PBE).

Lattice parameters (Å, degrees): 5.6673 5.6673 5.1136 90.00 90.00 90.00
With the nearest neighbours (Å) after each atom.
Space group P4/mmm (No. 123)
Symmetry-distinct sites (fractional):
Y 0.0000 0.5000 0.0000  2 Sb 2.83
Nb 0.0000 0.0000 0.5000  2 Sb 2.56
Sb 0.0000 0.0000 0.0000  2 Nb 2.56, 4 Y 2.83
N 0.5000 0.5000 0.5000  8 Y 3.82, 4 Nb 4.01

* Fermi-level density of states: 1.09 states/eV/atom
* total magnetization: 0.368 μB per atom
* E_tot: -27.857 eV per cell
* E_form (uncorrected): 1.52 eV/atom


Entry from Alexandria: a geometry-optimized ScNb2N2 structure (PBE).

Lattice parameters (Å, degrees): 3.1632 4.2883 9.8447 90.00 90.00 90.00
With the nearest neighbours (Å) after each atom.
Space group Immm (No. 71)
Symmetry-distinct sites (fractional):
Sc 0.0000 0.0000 0.0000  4 N 2.22
Nb 0.0000 0.0000 0.3156  4 N 2.16-2.21
N 0.0000 0.5000 0.3412  4 Nb 2.16-2.21, 2 Sc 2.22

* Fermi-level density of states: 0.39 states/eV/atom
* total magnetization: 0.000 μB per atom
* E_tot: -97.777 eV per cell
* E_form (uncorrected): -1.15 eV/atom


Question: Number 2 is which compound?
Answer: Y2NbSbN


Question: Among the records above, which one has the highest E_form (uncorrected)?
Answer: Y2NbSbN


Question: Among the records above, which one has the lowest E_tot?
Answer: ScNb2N2